Entry 1:
VASP calculation (PBE) on TbNdCu2 after structural relaxation.

Lattice parameters (Å, degrees): 7.1962 7.1962 7.1962 33.43 33.43 33.43
Sites, in units of the cell vectors:
Tb 0.0000 0.0000 0.0000
Nd 0.5000 0.5000 0.5000
Cu 0.2548 0.2548 0.2548
Cu 0.7452 0.7452 0.7452

V = 101 Å³/cell
space-group type = R-3m
excess energy over the best structure of this formula in the dataset = 240 meV/atom
D(E_F) = 5.64 states/eV/cell


Entry 2:
VASP calculation (PBE) on Pr5Er3Tm3 after structural relaxation.

Lattice parameters (Å, degrees): 11.2651 11.2651 3.4594 90.00 90.00 120.00
Sites, in units of the cell vectors:
Pr 0.0000 0.6620 0.0000
Pr 0.3333 0.6667 0.0000
Pr 0.3380 0.3380 0.0000
Pr 0.6620 0.0000 0.0000
Pr 0.6667 0.3333 0.0000
Er 0.0000 0.4038 0.5000
Er 0.4038 0.0000 0.5000
Er 0.5962 0.5962 0.5000
Tm 0.0000 0.1591 0.0000
Tm 0.1591 0.0000 0.0000
Tm 0.8409 0.8409 0.0000

DFT total energy = -4.326 eV per atom
V = 380 Å³/cell
space-group type = P-62m
D(E_F) = 16.14 states/eV/cell


Entry 3:
VASP calculation (PBE) on Al2Cd2In after structural relaxation.

Lattice parameters (Å, degrees): 8.6021 8.6021 3.0205 90.00 90.00 90.00
Sites, in units of the cell vectors:
Al 0.1175 0.3825 0.0000
Al 0.3825 0.8825 0.0000
Al 0.6175 0.1175 0.0000
Al 0.8825 0.6175 0.0000
Cd 0.1782 0.6782 0.5000
Cd 0.3218 0.1782 0.5000
Cd 0.6782 0.8218 0.5000
Cd 0.8218 0.3218 0.5000
In 0.0000 0.0000 0.5000
In 0.5000 0.5000 0.5000

V = 224 Å³/cell
space-group type = P4/mbm
excess energy over the best structure of this formula in the dataset = 13 meV/atom
D(E_F) = 4.03 states/eV/cell


Entry 4:
VASP calculation (PBE) on SmEu2Ag after structural relaxation.

Lattice parameters (Å, degrees): 4.9206 4.9206 5.1657 90.00 90.00 90.00
Sites, in units of the cell vectors:
Sm 0.0000 0.0000 0.0000
Eu 0.0000 0.5000 0.5000
Eu 0.5000 0.0000 0.5000
Ag 0.5000 0.5000 0.0000

V = 125 Å³/cell
space-group type = P4/mmm
excess energy over the best structure of this formula in the dataset = 123 meV/atom
D(E_F) = 5.07 states/eV/cell


Entry 5:
VASP calculation (PBE) on ErTm2Hg after structural relaxation.

Lattice parameters (Å, degrees): 3.5448 3.5448 8.8435 90.00 90.00 90.00
Sites, in units of the cell vectors:
Er 0.0000 0.0000 0.0000
Tm 0.5000 0.5000 0.2756
Tm 0.5000 0.5000 0.7244
Hg 0.0000 0.0000 0.5000

V = 111 Å³/cell
space-group type = P4/mmm
excess energy over the best structure of this formula in the dataset = 0 meV/atom
D(E_F) = 4.46 states/eV/cell


Entry 6:
VASP calculation (PBE) on KPrSeI after structural relaxation.

Lattice parameters (Å, degrees): 8.8473 8.8473 8.8473 28.44 28.44 28.44
Sites, in units of the cell vectors:
K 0.0000 0.0000 0.0000
Pr 0.8087 0.8087 0.8087
Se 0.4114 0.4114 0.4114
I 0.2277 0.2277 0.2277

V = 139 Å³/cell
space-group type = R3m
D(E_F) = 2.63 states/eV/cell
E_form (uncorrected) = -1402 meV/atom


Entry 7:
VASP calculation (PBE) on Pr4C2I3 after structural relaxation.

Lattice parameters (Å, degrees): 8.0524 8.0524 9.4185 104.09 104.09 27.20
Sites, in units of the cell vectors:
Pr 0.0962 0.0962 0.2148
Pr 0.3128 0.3128 0.4012
Pr 0.6872 0.6872 0.5988
Pr 0.9038 0.9038 0.7852
C 0.3072 0.3072 0.6598
C 0.6928 0.6928 0.3402
I 0.0000 0.0000 0.5000
I 0.4015 0.4015 0.0924
I 0.5985 0.5985 0.9076

V = 270 Å³/cell
space-group type = C2/m
D(E_F) = 1.78 states/eV/cell
E_form (uncorrected) = -696 meV/atom


Entry 8:
VASP calculation (PBE) on BaTaTl2 after structural relaxation.

Lattice parameters (Å, degrees): 8.2452 8.2452 8.2452 156.90 145.45 41.97
Sites, in units of the cell vectors:
Ba 0.0000 0.0000 0.0000
Ta 0.7929 0.2929 0.5000
Tl 0.3129 0.8129 0.5000
Tl 0.6348 0.6348 0.0000

DFT total energy = -4.168 eV per atom
V = 124 Å³/cell
space-group type = Imm2
D(E_F) = 4.43 states/eV/cell


Which size of the total moment belongs to each record? In order, 0.00; 0.00; 0.00; 15.38; 0.00; 0.00; 0.00; 0.32 Bohr magnetons per cell.